{"formula": "AlAgGe", "functional": "GGA-PBE", "state": "optimized geometry", "lattice_angstrom": [[-3.228, -5.194, 2.922], [3.560, -2.049, 0.290], [1.290, 3.262, 7.224]], "species": ["Al", "Ag", "Ag", "Ge", "Al", "Ge", "Al", "Ge", "Ag", "Al", "Ag", "Ge"], "frac_coords": [[0.344, 0.250, 0.052], [0.538, 0.750, 0.371], [0.462, 0.250, 0.629], [0.285, 0.750, 0.855], [0.156, 0.750, 0.552], [0.215, 0.250, 0.355], [0.844, 0.250, 0.448], [0.715, 0.250, 0.145], [0.962, 0.250, 0.871], [0.656, 0.750, 0.948], [0.038, 0.750, 0.129], [0.785, 0.750, 0.645]], "energy_ev_per_atom": -3.615}

---

{"formula": "U2H2I3Br", "functional": "GGA-PBE", "state": "optimized geometry", "lattice_angstrom": [[-2.519, -2.902, -0.750], [2.335, -0.197, 3.137], [-11.120, 7.396, 8.738]], "species": ["I", "Br", "H", "I", "U", "U", "I", "H"], "frac_coords": [[0.000, 0.000, 0.618], [0.000, 0.000, 0.880], [0.333, 0.667, 0.754], [0.333, 0.667, 0.386], [0.667, 0.333, 0.248], [0.667, 0.333, 0.756], [0.333, 0.667, 0.110], [0.000, 0.000, 0.248]], "energy_ev_per_atom": -5.229}

---

{"formula": "NdCl", "functional": "GGA-PBE", "state": "optimized geometry", "lattice_angstrom": [[0.000, 3.222, 3.222], [3.222, 0.000, 3.222], [3.222, 3.222, 0.000]], "species": ["Cl", "Nd"], "frac_coords": [[0.000, 0.000, 0.000], [0.250, 0.250, 0.250]], "energy_ev_per_atom": -4.287}

---

{"formula": "Y2ErCu4Sn2Ge2", "functional": "GGA-PBE", "state": "optimized geometry", "lattice_angstrom": [[8.170, 0.609, 0.982], [4.059, 7.087, -1.175], [-5.765, -4.306, 4.040]], "species": ["Ge", "Sn", "Cu", "Ge", "Y", "Sn", "Cu", "Cu", "Y", "Cu", "Er"], "frac_coords": [[0.692, 0.500, 0.192], [0.217, 0.217, 0.000], [0.969, 0.659, 0.310], [0.308, 0.500, 0.808], [0.625, 0.125, 0.500], [0.783, 0.783, 0.000], [0.031, 0.341, 0.690], [0.651, 0.341, 0.310], [0.375, 0.875, 0.500], [0.349, 0.659, 0.690], [0.000, 0.000, 0.000]], "energy_ev_per_atom": -5.101, "de_polymorph_mev_per_atom": 0}

---

{"formula": "TmB3Mo", "functional": "GGA-PBE", "state": "optimized geometry", "lattice_angstrom": [[5.396, 0.000, 0.000], [0.000, 3.147, 0.000], [-1.374, 0.000, 6.649]], "species": ["B", "Tm", "Mo", "Tm", "B", "B", "B", "Mo", "B", "B"], "frac_coords": [[0.916, 0.250, 0.507], [0.177, 0.250, 0.210], [0.310, 0.250, 0.721], [0.823, 0.750, 0.790], [0.084, 0.750, 0.493], [0.418, 0.750, 0.976], [0.588, 0.250, 0.505], [0.690, 0.750, 0.279], [0.582, 0.250, 0.024], [0.412, 0.750, 0.495]], "energy_ev_per_atom": -7.723}

---

{"formula": "Nb3AgS4", "functional": "GGA-PBE", "state": "optimized geometry", "lattice_angstrom": [[-0.452, -4.494, 7.642], [6.593, -1.624, -5.722], [2.434, 3.051, 1.938]], "species": ["S", "Nb", "Nb", "Nb", "Nb", "S", "S", "S", "Ag", "S", "Nb", "Ag", "S", "S", "Nb", "S"], "frac_coords": [[0.329, 0.309, 0.250], [0.352, 0.486, 0.750], [0.134, 0.648, 0.750], [0.866, 0.352, 0.250], [0.514, 0.866, 0.750], [0.333, 0.667, 0.250], [0.980, 0.671, 0.250], [0.020, 0.329, 0.750], [0.000, 0.000, 0.500], [0.667, 0.333, 0.750], [0.486, 0.134, 0.250], [0.000, 0.000, 0.000], [0.671, 0.691, 0.750], [0.309, 0.980, 0.750], [0.648, 0.514, 0.250], [0.691, 0.020, 0.250]], "energy_ev_per_atom": -6.605}

---

{"formula": "Pr2DyMg3ZnIn2", "functional": "GGA-PBE", "state": "optimized geometry", "lattice_angstrom": [[-4.688, 0.066, -0.099], [-0.048, -7.145, -2.470], [-0.138, 1.314, 7.444]], "species": ["Mg", "Mg", "Pr", "Pr", "Zn", "Dy", "In", "Mg", "In"], "frac_coords": [[0.500, 0.234, 0.234], [0.500, 0.764, 0.999], [0.000, 0.002, 0.412], [0.000, 0.412, 0.002], [0.000, 0.991, 0.991], [0.000, 0.593, 0.593], [0.500, 0.340, 0.665], [0.500, 0.999, 0.764], [0.500, 0.665, 0.340]], "energy_ev_per_atom": -3.210}

---

{"formula": "Lu4NiAuC2", "functional": "GGA-PBE", "state": "optimized geometry", "lattice_angstrom": [[3.556, 0.000, 0.000], [-1.778, 3.080, 0.000], [0.000, 0.000, 13.366]], "species": ["Lu", "Lu", "C", "Au", "Lu", "Ni", "Lu", "C"], "frac_coords": [[0.667, 0.333, 0.835], [0.000, 0.000, 0.641], [0.333, 0.667, 0.743], [0.000, 0.000, 0.000], [0.000, 0.000, 0.359], [0.667, 0.333, 0.500], [0.667, 0.333, 0.165], [0.333, 0.667, 0.257]], "energy_ev_per_atom": -6.110}

---

{"formula": "GdTmGa", "functional": "GGA-PBE", "state": "optimized geometry", "lattice_angstrom": [[-1.209, -4.058, -2.549], [-4.384, -0.281, -2.264], [-0.249, 0.164, -4.933]], "species": ["Gd", "Ga", "Tm"], "frac_coords": [[0.250, 0.250, 0.250], [0.000, 0.000, 0.000], [0.750, 0.750, 0.750]], "energy_ev_per_atom": -4.300, "de_polymorph_mev_per_atom": 0}

---

- Number 4 is which compound?
  Y2ErCu4Sn2Ge2